# KOs2Ru (PBE-GGA, relaxed)
# Relative energy among the computed polymorphs = 401 kJ/mol of formula units
# Total DFT energy (no corrections) = -0.4715 Ry/atom
# DOS at the Fermi energy = 1.291 states/eV/atom
# Calculated formation energy = 1794 meV per atom
data_KOs2Ru
_chemical_formula_sum 'K2 Os4 Ru2'
_symmetry_space_group_name_H-M 'I 4/m m m'
_symmetry_Int_Tables_number 139
_symmetry_space_group_name_Hall '-I 4 2'
_cell_length_a 3.991
_cell_length_b 3.991
_cell_length_c 8.367
_cell_angle_alpha 90.00
_cell_angle_beta 90.00
_cell_angle_gamma 90.00
loop_
_atom_site_label
_atom_site_type_symbol
_atom_site_fract_x
_atom_site_fract_y
_atom_site_fract_z
K1 K 0.000 0.000 0.000
Os1 Os 0.000 0.500 0.250
Ru1 Ru 0.000 0.000 0.500

---

# KOs2Ru (PBE-GGA, relaxed)
# Relative energy among the computed polymorphs = 390 kJ/mol of formula units
# Total DFT energy (no corrections) = -0.4734 Ry/atom
# DOS at the Fermi energy = 1.083 states/eV/atom
# Calculated formation energy = 1767 meV per atom
data_KOs2Ru
_chemical_formula_sum 'K4 Os8 Ru4'
_symmetry_space_group_name_H-M 'F m -3 m'
_symmetry_Int_Tables_number 225
_symmetry_space_group_name_Hall '-F 4 2 3'
_cell_length_a 6.392
_cell_length_b 6.392
_cell_length_c 6.392
_cell_angle_alpha 90.00
_cell_angle_beta 90.00
_cell_angle_gamma 90.00
loop_
_atom_site_label
_atom_site_type_symbol
_atom_site_fract_x
_atom_site_fract_y
_atom_site_fract_z
K1 K 0.000 0.000 0.000
Os1 Os 0.250 0.250 0.250
Ru1 Ru 0.000 0.000 0.500

---

# KOsRu (PBE-GGA, relaxed)
# Relative energy among the computed polymorphs = 0 kJ/mol of formula units
# Total DFT energy (no corrections) = -0.4731 Ry/atom
# DOS at the Fermi energy = 0.830 states/eV/atom
# Calculated formation energy = 764 meV per atom
data_KOsRu
_chemical_formula_sum 'K2 Os2 Ru2'
_symmetry_space_group_name_H-M 'I m m 2'
_symmetry_Int_Tables_number 44
_cell_length_a 2.715
_cell_length_b 3.918
_cell_length_c 12.385
_cell_angle_alpha 90.00
_cell_angle_beta 90.00
_cell_angle_gamma 90.00
loop_
_symmetry_equiv_pos_as_xyz
'x,y,z'
'-x,-y,z'
'-x,y,z'
'x,-y,z'
'x+1/2,y+1/2,z+1/2'
'-x+1/2,-y+1/2,z+1/2'
'-x+1/2,y+1/2,z+1/2'
'x+1/2,-y+1/2,z+1/2'
loop_
_atom_site_label
_atom_site_type_symbol
_atom_site_fract_x
_atom_site_fract_y
_atom_site_fract_z
K1 K 0.000 0.000 0.000
Os1 Os 0.000 0.000 0.714
Ru1 Ru 0.000 0.000 0.284

---

# KOs2Ru (PBE-GGA, relaxed)
# Relative energy among the computed polymorphs = 88 kJ/mol of formula units
# Total DFT energy (no corrections) = -0.5309 Ry/atom
# DOS at the Fermi energy = 1.164 states/eV/atom
# Calculated formation energy = 985 meV per atom
data_KOs2Ru
_chemical_formula_sum 'K2 Os4 Ru2'
_symmetry_space_group_name_H-M 'C m m m'
_symmetry_Int_Tables_number 65
_symmetry_space_group_name_Hall '-C 2 2'
_cell_length_a 2.801
_cell_length_b 4.643
_cell_length_c 10.388
_cell_angle_alpha 90.00
_cell_angle_beta 90.00
_cell_angle_gamma 90.00
loop_
_atom_site_label
_atom_site_type_symbol
_atom_site_fract_x
_atom_site_fract_y
_atom_site_fract_z
K1 K 0.000 0.000 0.000
Os1 Os 0.000 0.500 0.283
Ru1 Ru 0.000 0.000 0.500

---

# KOs2Ru (PBE-GGA, relaxed)
# Relative energy among the computed polymorphs = 304 kJ/mol of formula units
# Total DFT energy (no corrections) = -0.4899 Ry/atom
# DOS at the Fermi energy = 1.374 states/eV/atom
# Calculated formation energy = 1542 meV per atom
data_KOs2Ru
_chemical_formula_sum 'K1 Os2 Ru1'
_symmetry_space_group_name_H-M 'P m m m'
_symmetry_Int_Tables_number 47
_cell_length_a 2.718
_cell_length_b 4.822
_cell_length_c 5.128
_cell_angle_alpha 90.00
_cell_angle_beta 90.00
_cell_angle_gamma 90.00
loop_
_symmetry_equiv_pos_as_xyz
'x,y,z'
'-x,-y,-z'
'-x,-y,z'
'x,y,-z'
'x,-y,-z'
'-x,y,z'
'-x,y,-z'
'x,-y,z'
loop_
_atom_site_label
_atom_site_type_symbol
_atom_site_fract_x
_atom_site_fract_y
_atom_site_fract_z
K1 K 0.000 0.000 0.000
Os1 Os 0.000 0.500 0.500
Os2 Os 0.500 0.000 0.500
Ru1 Ru 0.500 0.500 0.000

---

# KOsRu2 (PBE-GGA, relaxed)
# Relative energy among the computed polymorphs = 83 kJ/mol of formula units
# Total DFT energy (no corrections) = -0.4968 Ry/atom
# DOS at the Fermi energy = 1.519 states/eV/atom
# Calculated formation energy = 961 meV per atom
data_KOsRu2
_chemical_formula_sum 'K2 Os2 Ru4'
_symmetry_space_group_name_H-M 'C m m m'
_symmetry_Int_Tables_number 65
_symmetry_space_group_name_Hall '-C 2 2'
_cell_length_a 2.828
_cell_length_b 4.692
_cell_length_c 10.232
_cell_angle_alpha 90.00
_cell_angle_beta 90.00
_cell_angle_gamma 90.00
loop_
_atom_site_label
_atom_site_type_symbol
_atom_site_fract_x
_atom_site_fract_y
_atom_site_fract_z
K1 K 0.000 0.000 0.000
Os1 Os 0.000 0.000 0.500
Ru1 Ru 0.000 0.500 0.283

---

# KOsRu2 (PBE-GGA, relaxed)
# Relative energy among the computed polymorphs = 113 kJ/mol of formula units
# Total DFT energy (no corrections) = -0.4911 Ry/atom
# DOS at the Fermi energy = 1.387 states/eV/atom
# Calculated formation energy = 1038 meV per atom
data_KOsRu2
_chemical_formula_sum 'K1 Os1 Ru2'
_symmetry_space_group_name_H-M 'P 4 m m'
_symmetry_Int_Tables_number 99
_cell_length_a 3.146
_cell_length_b 3.146
_cell_length_c 8.128
_cell_angle_alpha 90.00
_cell_angle_beta 90.00
_cell_angle_gamma 90.00
loop_
_symmetry_equiv_pos_as_xyz
'x,y,z'
'-y,x,z'
'-x,-y,z'
'y,-x,z'
'-x,y,z'
'y,x,z'
'x,-y,z'
'-y,-x,z'
loop_
_atom_site_label
_atom_site_type_symbol
_atom_site_fract_x
_atom_site_fract_y
_atom_site_fract_z
K1 K 0.000 0.000 0.000
Os1 Os 0.500 0.500 0.338
Ru1 Ru 0.000 0.000 0.496
Ru2 Ru 0.500 0.500 0.663

---

# KOsRu2 (PBE-GGA, relaxed)
# Relative energy among the computed polymorphs = 159 kJ/mol of formula units
# Total DFT energy (no corrections) = -0.4822 Ry/atom
# DOS at the Fermi energy = 1.287 states/eV/atom
# Calculated formation energy = 1158 meV per atom
data_KOsRu2
_chemical_formula_sum 'K2 Os2 Ru4'
_symmetry_space_group_name_H-M 'I m m m'
_symmetry_Int_Tables_number 71
_symmetry_space_group_name_Hall '-I 2 2'
_cell_length_a 2.706
_cell_length_b 5.268
_cell_length_c 10.252
_cell_angle_alpha 90.00
_cell_angle_beta 90.00
_cell_angle_gamma 90.00
loop_
_atom_site_label
_atom_site_type_symbol
_atom_site_fract_x
_atom_site_fract_y
_atom_site_fract_z
K1 K 0.000 0.000 0.000
Os1 Os 0.000 0.000 0.500
Ru1 Ru 0.000 0.500 0.211

---

Question: The lowest total DFT energy (no corrections) belongs to which entry?
Answer: number 4

---

Question: Among the records above, which one has the highest calculated formation energy?
Answer: number 1

---

Question: Among the records above, which one has the lowest DOS at the Fermi energy?
Answer: KOsRu

---

Question: What is the formula in the third record?
Answer: KOsRu